Record 1
Below is crystalline Cs2PPd at its relaxed geometry, with properties calculated at the GGA-PBEsol level.

The structure in POSCAR format:
```
Cs2PPd
1.0
12.589 0.000 0.000
0.000 12.589 0.000
0.000 0.000 4.461
Cs P Pd
8 4 4
Cartesian
1.024 3.147 0.558
3.147 7.318 1.673
3.147 11.565 3.903
5.271 3.147 2.788
7.318 9.442 2.788
9.442 1.024 3.903
9.442 5.271 1.673
11.565 9.442 0.558
0.000 0.000 2.230
0.000 6.294 3.345
6.294 0.000 1.115
6.294 6.294 0.000
0.000 0.000 0.000
0.000 6.294 1.115
6.294 0.000 3.345
6.294 6.294 2.230
```

Symmetry: I-42d
Total moment, μB/atom: 0.00
Formation energy, eV/f.u.: -1.0

=====

Record 2
Below is crystalline Cs10P4PdSe16 at its relaxed geometry, with properties calculated at the GGA-PBEsol level.

The structure in POSCAR format:
```
Cs10P4PdSe16
1.0
13.797 0.000 0.000
0.000 13.797 0.000
0.000 0.000 11.452
Cs P Pd Se
20 8 2 32
Cartesian
0.000 2.088 0.000
0.000 6.899 3.391
0.000 6.899 8.062
0.000 11.709 0.000
2.088 0.000 5.726
3.365 3.365 2.863
3.365 3.365 8.589
3.365 10.432 2.863
3.365 10.432 8.589
4.669 6.899 5.726
6.899 0.000 2.335
6.899 0.000 9.117
6.899 4.669 0.000
6.899 9.128 0.000
9.128 6.899 5.726
10.432 3.365 2.863
10.432 3.365 8.589
10.432 10.432 2.863
10.432 10.432 8.589
11.709 0.000 5.726
0.000 3.561 5.726
0.000 10.236 5.726
3.352 6.899 0.000
3.561 0.000 0.000
6.899 3.352 5.726
6.899 10.445 5.726
10.236 0.000 0.000
10.445 6.899 0.000
0.000 6.899 0.000
6.899 0.000 5.726
0.000 2.307 3.903
0.000 2.307 7.550
0.000 11.490 3.903
0.000 11.490 7.550
1.795 5.254 0.000
1.795 8.543 0.000
1.809 4.852 5.726
1.809 8.945 5.726
2.307 0.000 1.823
2.307 0.000 9.629
4.570 6.899 1.804
4.570 6.899 9.649
4.852 1.809 0.000
4.852 11.988 0.000
5.254 1.795 5.726
5.254 12.002 5.726
6.899 4.570 3.922
6.899 4.570 7.530
6.899 9.227 3.922
6.899 9.227 7.530
8.543 1.795 5.726
8.543 12.002 5.726
8.945 1.809 0.000
8.945 11.988 0.000
9.227 6.899 1.804
9.227 6.899 9.649
11.490 0.000 1.823
11.490 0.000 9.629
11.988 4.852 5.726
11.988 8.945 5.726
12.002 5.254 0.000
12.002 8.543 0.000
```

E_form (uncorrected), meV/atom: -832.0
Symmetry: P4_2/mmc
Total moment, μB/atom: 0.00

=====

Record 3
Below is crystalline Cs4P2PdSe8 at its relaxed geometry, with properties calculated at the GGA-PBEsol level.

The structure in POSCAR format:
```
Cs4P2PdSe8
1.0
7.433 0.000 0.000
0.000 13.348 0.000
-0.412 0.000 10.023
Cs P Pd Se
8 4 2 16
Cartesian
1.260 1.752 1.762
1.054 4.922 6.774
1.617 8.722 9.695
1.823 11.299 4.683
5.198 2.048 5.340
5.404 4.625 0.329
5.967 8.426 3.250
5.761 11.595 8.261
1.427 1.102 7.577
1.633 5.572 2.565
5.388 7.775 7.458
5.594 12.246 2.446
3.716 0.000 0.000
3.510 6.674 5.012
-0.133 8.402 6.626
0.073 11.619 1.614
1.541 1.474 5.445
1.747 5.200 0.433
2.167 7.677 3.229
1.961 12.345 8.240
3.200 2.006 8.646
3.406 4.668 3.634
3.615 8.680 6.389
3.821 11.342 1.378
5.060 1.003 1.783
4.854 5.671 6.794
5.274 8.148 9.590
5.480 11.874 4.579
6.948 1.728 8.409
7.154 4.946 3.397
```

E_form (uncorrected), meV/atom: -733.2
Symmetry: P2_1/c
Total moment, μB/atom: 0.00

=====

Record 4
Below is crystalline CsPPt3 at its relaxed geometry, with properties calculated at the GGA-PBEsol level.

The structure in POSCAR format:
```
CsPPt3
1.0
5.052 0.000 0.000
0.000 5.052 0.000
0.000 0.000 5.052
Cs P Pt
1 1 3
Cartesian
0.000 0.000 0.000
2.526 2.526 2.526
0.000 0.000 2.526
0.000 2.526 0.000
2.526 0.000 0.000
```

Symmetry: Pm-3m
Total moment, μB/atom: 0.00
Formation energy, eV/f.u.: 12.9

=====

Record 5
Below is crystalline CsP2PtS at its relaxed geometry, with properties calculated at the GGA-PBEsol level.

The structure in POSCAR format:
```
CsP2PtS
1.0
4.664 0.000 0.000
0.000 4.664 0.000
0.000 0.000 5.341
Cs P Pt S
1 2 1 1
Cartesian
0.000 0.000 0.000
0.000 2.332 2.670
2.332 0.000 2.670
2.332 2.332 2.670
2.332 2.332 0.000
```

E_form (uncorrected), meV/atom: 227.6
Symmetry: P4/mmm
Total moment, μB/atom: 0.00

=====

Record 6
Below is crystalline CsSnPPt2 at its relaxed geometry, with properties calculated at the GGA-PBEsol level.

The structure in POSCAR format:
```
CsSnPPt2
1.0
5.090 0.000 0.000
0.000 5.090 0.000
0.000 0.000 5.121
Cs Sn P Pt
1 1 1 2
Cartesian
0.000 0.000 0.000
2.545 2.545 2.560
2.545 2.545 0.000
0.000 2.545 2.560
2.545 0.000 2.560
```

Symmetry: P4/mmm
Total moment, μB/atom: 0.00
Formation energy, eV/f.u.: 3.0

=====

Record 7
Below is crystalline CsReP2S at its relaxed geometry, with properties calculated at the GGA-PBEsol level.

The structure in POSCAR format:
```
CsReP2S
1.0
4.627 0.000 0.000
0.000 4.627 0.000
0.000 0.000 5.086
Cs Re P S
1 1 2 1
Cartesian
0.000 0.000 0.000
2.314 2.314 2.543
0.000 2.314 2.543
2.314 0.000 2.543
2.314 2.314 0.000
```

E_form (uncorrected), meV/atom: 66.6
Symmetry: P4/mmm
Total moment, μB/atom: 0.00

=====

Record 8
Below is crystalline CsRePS2 at its relaxed geometry, with properties calculated at the GGA-PBEsol level.

The structure in POSCAR format:
```
CsRePS2
1.0
4.789 0.000 0.000
0.000 4.789 0.000
0.000 0.000 4.662
Cs Re P S
1 1 1 2
Cartesian
0.000 0.000 0.000
2.394 2.394 2.331
2.394 2.394 0.000
0.000 2.394 2.331
2.394 0.000 2.331
```

E_form (uncorrected), meV/atom: -108.9
Symmetry: P4/mmm
Total moment, μB/atom: 0.00

=====

Record 9
Below is crystalline CsP2Rh2 at its relaxed geometry, with properties calculated at the GGA-PBEsol level.

The structure in POSCAR format:
```
CsP2Rh2
1.0
3.884 0.000 0.000
0.000 3.884 0.000
0.000 0.000 14.174
Cs P Rh
2 4 4
Cartesian
0.000 0.000 0.000
1.942 1.942 7.087
0.000 0.000 4.808
0.000 0.000 9.366
1.942 1.942 2.279
1.942 1.942 11.896
0.000 1.942 3.544
0.000 1.942 10.631
1.942 0.000 3.544
1.942 0.000 10.631
```

Symmetry: I4/mmm
Total moment, μB/atom: 0.00
Formation energy, eV/f.u.: -3.9

=====

Record 10
Below is crystalline CsPRuS2 at its relaxed geometry, with properties calculated at the GGA-PBEsol level.

The structure in POSCAR format:
```
CsPRuS2
1.0
5.252 0.000 0.000
0.000 5.252 0.000
0.000 0.000 5.217
Cs P Ru S
1 1 1 2
Cartesian
0.000 0.000 0.000
0.000 0.000 2.608
2.626 2.626 2.608
0.000 2.626 0.000
2.626 0.000 0.000
```

E_form (uncorrected), meV/atom: 2409.0
Symmetry: P4/mmm
Total moment, μB/atom: 0.82

=====

Record 11
Below is crystalline CsPS2 at its relaxed geometry, with properties calculated at the GGA-PBEsol level.

The structure in POSCAR format:
```
CsPS2
1.0
5.861 0.000 0.000
-2.931 5.076 0.000
0.000 0.000 17.627
Cs P S
3 3 6
Cartesian
0.000 0.000 0.000
0.000 3.384 11.751
2.931 1.692 5.876
0.000 0.000 8.814
0.000 3.384 2.938
2.931 1.692 14.689
0.000 0.000 6.764
0.000 0.000 10.863
0.000 3.384 0.889
0.000 3.384 4.987
2.931 1.692 12.640
2.931 1.692 16.739
```

E_form (uncorrected), meV/atom: 31.6
Symmetry: R-3m
Total moment, μB/atom: 0.50

=====

Record 12
Below is crystalline CsSbP2S at its relaxed geometry, with properties calculated at the GGA-PBEsol level.

The structure in POSCAR format:
```
CsSbP2S
1.0
5.154 0.000 0.000
0.000 5.154 0.000
0.000 0.000 5.258
Cs Sb P S
1 1 2 1
Cartesian
0.000 0.000 0.000
2.577 2.577 2.629
0.000 2.577 2.629
2.577 0.000 2.629
2.577 2.577 0.000
```

E_form (uncorrected), meV/atom: 373.2
Symmetry: P4/mmm
Total moment, μB/atom: 0.28

=====

Record 13
Below is crystalline CsSrP2S at its relaxed geometry, with properties calculated at the GGA-PBEsol level.

The structure in POSCAR format:
```
CsSrP2S
1.0
5.281 0.000 0.000
0.000 5.281 0.000
0.000 0.000 5.356
Cs Sr P S
1 1 2 1
Cartesian
0.000 0.000 0.000
2.641 2.641 2.678
0.000 2.641 0.000
2.641 0.000 0.000
0.000 0.000 2.678
```

E_form (uncorrected), meV/atom: 775.4
Symmetry: P4/mmm
Total moment, μB/atom: 0.00

=====

Record 14
Below is crystalline CsTcP2S at its relaxed geometry, with properties calculated at the GGA-PBEsol level.

The structure in POSCAR format:
```
CsTcP2S
1.0
5.221 0.000 0.000
0.000 5.221 0.000
0.000 0.000 5.188
Cs Tc P S
1 1 2 1
Cartesian
0.000 0.000 0.000
2.610 2.610 2.594
0.000 2.610 0.000
2.610 0.000 0.000
0.000 0.000 2.594
```

E_form (uncorrected), meV/atom: 2549.3
Symmetry: P4/mmm
Total moment, μB/atom: 0.75

=====

Record 15
Below is crystalline CsTiP2S8 at its relaxed geometry, with properties calculated at the GGA-PBEsol level.

The structure in POSCAR format:
```
CsTiP2S8
1.0
10.855 -3.466 0.000
10.855 3.466 0.000
-2.717 0.000 17.131
Cs Ti P S
4 4 8 32
Cartesian
5.470 1.617 13.383
9.497 2.076 8.566
6.828 -1.617 4.817
10.855 -2.076 0.000
3.869 0.838 8.747
5.228 -0.838 0.181
12.154 1.095 4.533
10.796 -1.095 13.099
9.189 1.900 4.465
7.799 0.956 0.335
14.180 2.256 2.524
6.441 -0.956 8.901
12.070 0.969 14.997
7.830 -1.900 13.031
13.428 -0.969 6.431
12.822 -2.256 11.090
7.239 2.398 1.837
1.938 0.997 13.118
3.357 1.217 16.373
10.748 2.975 5.239
3.767 0.540 1.556
7.518 1.812 5.490
6.159 0.939 9.639
6.838 1.343 16.686
2.409 -0.540 10.122
11.287 2.502 16.095
3.296 -0.997 4.552
12.330 1.464 2.157
4.715 -1.217 7.807
10.021 0.094 3.968
11.798 1.083 12.980
7.517 -0.939 1.073
8.662 -0.094 12.533
12.555 0.820 6.903
15.629 0.962 1.885
14.024 1.085 15.596
8.197 -1.343 8.121
6.160 -1.812 14.055
5.880 -2.398 10.403
11.197 -0.820 15.468
13.157 -1.083 4.414
10.972 -1.464 10.723
14.271 -0.962 10.451
18.445 0.382 11.246
15.382 -1.085 7.031
9.390 -2.975 13.804
19.803 -0.382 2.680
12.645 -2.502 7.529
```

E_form (uncorrected), meV/atom: -718.3
Symmetry: Cc
Total moment, μB/atom: 0.00

=====

Record 16
Below is crystalline CsZrPS2 at its relaxed geometry, with properties calculated at the GGA-PBEsol level.

The structure in POSCAR format:
```
CsZrPS2
1.0
5.098 0.000 0.000
0.000 5.098 0.000
0.000 0.000 5.305
Cs Zr P S
1 1 1 2
Cartesian
0.000 0.000 0.000
2.549 2.549 2.652
0.000 0.000 2.652
0.000 2.549 0.000
2.549 0.000 0.000
```

E_form (uncorrected), meV/atom: 1464.9
Symmetry: P4/mmm
Total moment, μB/atom: 0.16

=====

Record 17
Below is crystalline CsSb2TeP at its relaxed geometry, with properties calculated at the GGA-PBEsol level.

The structure in POSCAR format:
```
CsSb2TeP
1.0
6.234 0.000 0.000
0.000 6.234 0.000
0.000 0.000 6.060
Cs Sb Te P
1 2 1 1
Cartesian
0.000 0.000 0.000
0.000 3.117 0.000
3.117 0.000 0.000
0.000 0.000 3.030
3.117 3.117 3.030
```

E_form (uncorrected), meV/atom: 1937.6
Symmetry: P4/mmm
Total moment, μB/atom: 0.15

=====

Record 18
Below is crystalline CsPSe6 at its relaxed geometry, with properties calculated at the GGA-PBEsol level.

The structure in POSCAR format:
```
CsPSe6
1.0
6.868 0.000 0.000
0.000 12.372 0.000
-6.534 0.000 11.091
Cs P Se
4 4 24
Cartesian
0.000 12.369 0.000
-3.267 0.004 5.545
1.817 5.965 2.768
-1.450 6.408 8.313
-1.624 2.049 2.775
-4.891 10.323 8.320
-4.881 4.201 8.315
-1.614 8.171 2.770
-0.593 3.344 1.223
-3.860 9.028 6.768
-4.791 5.372 10.165
-1.524 7.000 4.620
-3.043 2.948 8.007
0.224 9.424 2.461
0.004 0.882 3.657
-3.263 11.491 9.202
-0.573 4.160 5.297
-3.840 8.213 10.842
-3.010 2.072 10.278
0.257 10.300 4.733
0.102 2.068 6.361
3.369 10.304 0.816
4.207 4.163 0.246
0.940 8.209 5.792
3.608 0.892 1.894
0.341 11.480 7.439
0.146 2.953 8.629
3.413 9.420 3.084
1.898 5.366 6.462
5.165 7.006 0.916
4.221 3.350 4.328
0.954 9.023 9.874
```

E_form (uncorrected), meV/atom: -348.5
Symmetry: Pc
Total moment, μB/atom: 0.00

=====

Record 19
Below is crystalline Cs2PSe5 at its relaxed geometry, with properties calculated at the GGA-PBEsol level.

The structure in POSCAR format:
```
Cs2PSe5
1.0
7.305 0.000 0.000
0.474 7.437 0.000
0.371 0.911 10.079
Cs P Se
4 2 10
Cartesian
1.747 2.994 3.683
2.313 6.654 9.723
5.838 1.695 0.356
6.404 5.354 6.396
2.245 2.886 7.831
5.906 5.462 2.249
0.432 1.911 7.128
2.512 2.900 10.020
2.745 4.702 6.735
3.496 7.069 4.651
4.095 6.914 2.397
4.056 1.434 7.682
4.655 1.279 5.428
5.406 3.646 3.344
5.640 5.449 0.059
7.719 6.437 2.951
```

E_form (uncorrected), meV/atom: -632.8
Symmetry: P-1
Total moment, μB/atom: 0.00